1.
First-principles (GGA-PBE) data for a geometry-optimized CaLa4Y4 structure, as listed in Alexandria.

Size of the total moment = 0.0 μB/f.u.
V = 35.50 Å³/atom
Energy of formation = 0.056 eV per atom
Space group = No. 2

Cell lengths 6.8233, 9.2863, 10.7778 Å; angles 105.23, 100.09, 96.74 degrees
Fractional coordinates of all 18 atoms:
Ca: 0.0070 0.2616 0.2547
Ca: 0.9930 0.7384 0.7453
La: 0.1277 0.3572 0.6073
La: 0.2242 0.9563 0.4009
La: 0.3269 0.0672 0.7437
La: 0.4073 0.6534 0.9484
La: 0.5927 0.3466 0.0516
La: 0.6731 0.9328 0.2563
La: 0.7758 0.0437 0.5991
La: 0.8723 0.6428 0.3927
Y: 0.0598 0.3140 0.9330
Y: 0.2713 0.0275 0.0668
Y: 0.3370 0.5803 0.2500
Y: 0.4515 0.6895 0.5928
Y: 0.5485 0.3105 0.4072
Y: 0.6630 0.4197 0.7500
Y: 0.7287 0.9725 0.9332
Y: 0.9402 0.6860 0.0670

***

2.
First-principles (GGA-PBE) data for a geometry-optimized CePu4Sb2 structure, as listed in Alexandria.

Formation energy from raw total energies = -0.0789 eV/atom
Size of the total moment = 1.2 μB/f.u.
V = 26.31 Å³/atom
Space group = No. 2

Cell lengths 5.5100, 5.8766, 6.9600 Å; angles 114.89, 113.19, 90.02 degrees
Fractional coordinates of all 7 atoms:
Ce: 0.0000 0.0000 0.0000
Pu: 0.0000 0.5000 0.0000
Pu: 0.2809 0.7833 0.5651
Pu: 0.5000 0.0000 0.0000
Pu: 0.7191 0.2167 0.4349
Sb: 0.3576 0.3572 0.7134
Sb: 0.6424 0.6428 0.2866

***

3.
First-principles (GGA-PBE) data for a geometry-optimized Tb7Dy12Th structure, as listed in Alexandria.

Size of the total moment = 0.0 μB/f.u.
V = 35.54 Å³/atom
Energy of formation = 0.732 eV per atom
Space group = No. 229

Cell lengths 9.7376, 9.7376, 9.7376 Å; angles 109.47, 109.47, 109.47 degrees
Fractional coordinates of all 20 atoms:
Tb: 0.0000 0.0000 0.5000
Tb: 0.0000 0.5000 0.0000
Tb: 0.0000 0.5000 0.5000
Tb: 0.5000 0.0000 0.0000
Tb: 0.5000 0.0000 0.5000
Tb: 0.5000 0.5000 0.0000
Tb: 0.5000 0.5000 0.5000
Dy: 0.0000 0.2459 0.7541
Dy: 0.0000 0.7541 0.2459
Dy: 0.2459 0.0000 0.7541
Dy: 0.2459 0.2459 0.4917
Dy: 0.2459 0.4917 0.2459
Dy: 0.2459 0.7541 0.0000
Dy: 0.4917 0.2459 0.2459
Dy: 0.5083 0.7541 0.7541
Dy: 0.7541 0.0000 0.2459
Dy: 0.7541 0.2459 0.0000
Dy: 0.7541 0.5083 0.7541
Dy: 0.7541 0.7541 0.5083
Th: 0.0000 0.0000 0.0000

***

4.
First-principles (GGA-PBE) data for a geometry-optimized Na8B13C3 structure, as listed in Alexandria.

Relative energy among the computed polymorphs = 0.72 eV per formula unit
Size of the total moment = 0.0 μB/f.u.
V = 10.85 Å³/atom
Energy of formation = 0.212 eV per atom
Space group = No. 5

Cell lengths 9.1376, 9.1376, 5.9394 Å; angles 99.34, 99.34, 32.19 degrees
Fractional coordinates of all 24 atoms:
Na: 0.1243 0.1243 0.0619
Na: 0.1266 0.1230 0.5620
Na: 0.3758 0.3736 0.6868
Na: 0.3769 0.3740 0.1877
Na: 0.6260 0.6231 0.8123
Na: 0.6264 0.6242 0.3132
Na: 0.8757 0.8757 0.9381
Na: 0.8770 0.8734 0.4380
B: 0.0558 0.4445 0.8593
B: 0.0868 0.4137 0.3845
B: 0.1854 0.8150 0.2632
B: 0.1850 0.8146 0.7368
B: 0.3202 0.6798 0.0000
B: 0.4330 0.0662 0.8770
B: 0.5555 0.9442 0.1407
B: 0.5863 0.9132 0.6155
B: 0.6510 0.3490 0.5000
B: 0.6717 0.3283 0.0000
B: 0.8331 0.1665 0.7476
B: 0.8335 0.1669 0.2524
B: 0.9338 0.5670 0.1230
C: 0.3304 0.6696 0.5000
C: 0.4269 0.0726 0.3820
C: 0.9274 0.5731 0.6180

***

5.
First-principles (GGA-PBE) data for a geometry-optimized Ho4Ru structure, as listed in Alexandria.

Relative energy among the computed polymorphs = 0.00 eV per formula unit
Size of the total moment = 0.0 μB/f.u.
V = 29.49 Å³/atom
Energy of formation = -0.159 eV per atom
Space group = No. 43

Cell lengths 7.4031, 7.2811, 9.0459 Å; angles 52.58, 51.37, 76.05 degrees
Fractional coordinates of all 10 atoms:
Ho: 0.1943 0.2931 0.9652
Ho: 0.2293 0.7707 0.4470
Ho: 0.2848 0.7026 0.0557
Ho: 0.2931 0.1943 0.5474
Ho: 0.6970 0.8030 0.4793
Ho: 0.7026 0.2848 0.9569
Ho: 0.7707 0.2293 0.5530
Ho: 0.8030 0.6970 0.0207
Ru: 0.2263 0.2263 0.2737
Ru: 0.9763 0.9763 0.0237

***

Number 1: uncorrected energy -5.229 eV/atom, N(E_F) 1.4351 states/eV/atom. Number 2: uncorrected energy -10.294 eV/atom, N(E_F) 3.4118 states/eV/atom. Number 3: uncorrected energy -4.021 eV/atom, N(E_F) 1.3787 states/eV/atom. Number 4: uncorrected energy -4.998 eV/atom, N(E_F) 0.1676 states/eV/atom. Number 5: uncorrected energy -5.676 eV/atom, N(E_F) 0.9551 states/eV/atom.